Entry 1:
MnZnAg2 after structural relaxation. Source: Alexandria via LeMat-Bulk, functional GGA-PBE.

Values from the calculation:
- V: 131 Å³ per cell

Structure (CIF):
```
data_MnZnAg2
_chemical_formula_sum 'Mn2 Zn2 Ag4'
_space_group_name_H-M_alt 'C m m m'
_space_group_IT_number 65
_space_group_name_Hall '-C 2 2'
_cell_length_a 5.9431
_cell_length_b 7.5230
_cell_length_c 2.9331
_cell_angle_alpha 90.00
_cell_angle_beta 90.00
_cell_angle_gamma 90.00
loop_
_atom_site_label
_atom_site_type_symbol
_atom_site_fract_x
_atom_site_fract_y
_atom_site_fract_z
Mn1 Mn 0.0000 0.0000 0.0000
Zn1 Zn 0.0000 0.5000 0.0000
Ag1 Ag 0.2500 0.2500 0.5000
```

=====

Entry 2:
Nd12Tm5Th2 after structural relaxation. Source: Alexandria via LeMat-Bulk, functional GGA-PBE.

Values from the calculation:
- V: 1306 Å³ per cell

Structure (CIF):
```
data_Nd12Tm5Th2
_chemical_formula_sum 'Nd24 Tm10 Th4'
_space_group_name_H-M_alt 'C 1 2/m 1'
_space_group_IT_number 12
_cell_length_a 15.3560
_cell_length_b 10.5622
_cell_length_c 8.0610
_cell_angle_alpha 90.00
_cell_angle_beta 92.59
_cell_angle_gamma 90.00
loop_
_space_group_symop_operation_xyz
'x,y,z'
'-x,-y,-z'
'-x,y,-z'
'x,-y,z'
'x+1/2,y+1/2,z'
'-x+1/2,-y+1/2,-z'
'-x+1/2,y+1/2,-z'
'x+1/2,-y+1/2,z'
loop_
_atom_site_label
_atom_site_type_symbol
_atom_site_fract_x
_atom_site_fract_y
_atom_site_fract_z
Nd1 Nd 0.0522 0.0000 0.2188
Nd2 Nd 0.1070 0.2268 0.8869
Nd3 Nd 0.1309 0.5000 0.6106
Nd4 Nd 0.1847 0.2774 0.2925
Tm1 Tm 0.0000 0.5000 0.0000
Tm2 Tm 0.1564 0.0000 0.5933
Tm3 Tm 0.2423 0.5000 0.9835
Th1 Th 0.0000 0.2331 0.5000
```

=====

Taking the records one at a time from the top gives energy relative to the elements values of 0.1719 0.1566 eV/atom.
Taking the records one at a time from the top gives electronic total energy values of -3.86 -4.81 eV/atom.
Taking the records one at a time from the top gives ρ values of 8.5 7.7 g/cm³.